Compound: VGaAsF2
Source: the Alexandria database
Functional: PBE+U
Structure: relaxed

Structure (POSCAR):
```
VGaAsF2
1.0
3.848 0.000 0.000
0.000 3.848 0.000
0.000 0.000 6.790
V Ga As F
1 1 1 2
Direct
0.000 0.000 0.000
0.000 0.000 0.500
0.500 0.500 0.500
0.000 0.500 0.000
0.500 0.000 0.000
```

Summary:
Total moment: 3.02 μB/f.u.
Space group: No. 123
VASP energy: -24.5 eV/f.u.
Density of states at the Fermi level: 2.89 states/eV per cell